Computed, not measured: a PBEsol-optimized structure of Er3Ga9Pt2 at the meta-GGA SCAN level of DFT.

abc: 8.0692 8.0692 8.0692
angles: 150.37 104.65 82.99
Last column: nearest neighbours and their distance in Å.
Atoms (fractional coordinates):
Er 0.0000 0.0000 0.0000  12 Ga 3.14-3.19, 4 Pt 3.41
Er 0.3226 0.3226 0.0000  10 Ga 2.98-3.04, 2 Pt 3.08
Er 0.6774 0.6774 0.0000  10 Ga 2.98-3.04, 2 Pt 3.08
Ga 0.0437 0.6679 0.3759  4 Ga 2.45-2.61, 1 Pt 2.52
Ga 0.1494 0.8689 0.2804  2 Pt 2.60, 4 Ga 2.61-2.68
Ga 0.2920 0.6679 0.6241  4 Ga 2.45-2.61, 1 Pt 2.52
Ga 0.4115 0.1311 0.2804  2 Pt 2.60, 4 Ga 2.61-2.68
Ga 0.5000 0.0000 0.5000  4 Ga 2.68, 4 Er 2.98
Ga 0.5885 0.8689 0.7196  2 Pt 2.60, 4 Ga 2.61-2.68
Ga 0.7080 0.3321 0.3759  4 Ga 2.45-2.61, 1 Pt 2.52
Ga 0.8506 0.1311 0.7196  2 Pt 2.60, 4 Ga 2.61-2.68
Ga 0.9563 0.3321 0.6241  4 Ga 2.45-2.61, 1 Pt 2.52
Pt 0.2758 0.5000 0.7758  6 Ga 2.52-2.60
Pt 0.7242 0.5000 0.2242  6 Ga 2.52-2.60

* DFT formation energy: -803 meV/atom
* space group: Immm, No. 71
* size of the total moment: 0.0000 μB per atom


Computed, not measured: a PBEsol-optimized structure of Er2Ga9Rh3 at the meta-GGA SCAN level of DFT.

abc: 7.4161 7.4161 9.3477
angles: 90.00 90.00 60.27
Last column: nearest neighbours and their distance in Å.
Atoms (fractional coordinates):
Er 0.0023 0.6699 0.7500  11 Ga 2.95-3.09
Er 0.3301 0.9977 0.7500  11 Ga 2.95-3.09
Er 0.6699 0.0023 0.2500  11 Ga 2.95-3.09
Er 0.9977 0.3301 0.2500  11 Ga 2.95-3.09
Ga 0.0006 0.6651 0.0801  3 Rh 2.53-2.59, 3 Ga 2.69-2.83
Ga 0.0006 0.6651 0.4199  3 Rh 2.53-2.59, 3 Ga 2.69-2.83
Ga 0.1273 0.8727 0.2500  2 Rh 2.52, 6 Ga 2.69-2.71
Ga 0.3327 0.6673 0.5667  3 Rh 2.56-2.61, 5 Ga 2.74-2.83
Ga 0.3327 0.6673 0.9333  3 Rh 2.56-2.61, 5 Ga 2.74-2.83
Ga 0.3349 0.9994 0.0801  3 Rh 2.53-2.59, 3 Ga 2.69-2.83
Ga 0.3349 0.9994 0.4199  3 Rh 2.53-2.59, 3 Ga 2.69-2.83
Ga 0.3386 0.4516 0.2500  2 Rh 2.52, 6 Ga 2.69-2.74
Ga 0.4516 0.3386 0.7500  2 Rh 2.52, 6 Ga 2.69-2.74
Ga 0.5484 0.6614 0.2500  2 Rh 2.52, 6 Ga 2.69-2.74
Ga 0.6614 0.5484 0.7500  2 Rh 2.52, 6 Ga 2.69-2.74
Ga 0.6651 0.0006 0.5801  3 Rh 2.53-2.59, 3 Ga 2.69-2.83
Ga 0.6651 0.0006 0.9199  3 Rh 2.53-2.59, 3 Ga 2.69-2.83
Ga 0.6673 0.3327 0.0667  3 Rh 2.56-2.61, 5 Ga 2.74-2.83
Ga 0.6673 0.3327 0.4333  3 Rh 2.56-2.61, 5 Ga 2.74-2.83
Ga 0.8727 0.1273 0.7500  2 Rh 2.52, 6 Ga 2.69-2.71
Ga 0.9994 0.3349 0.5801  3 Rh 2.53-2.59, 3 Ga 2.69-2.83
Ga 0.9994 0.3349 0.9199  3 Rh 2.53-2.59, 3 Ga 2.69-2.83
Rh 0.0000 0.0000 0.0000  8 Ga 2.52-2.59
Rh 0.0000 0.0000 0.5000  8 Ga 2.52-2.59
Rh 0.3283 0.3283 0.0000  8 Ga 2.52-2.61
Rh 0.3283 0.3283 0.5000  8 Ga 2.52-2.61
Rh 0.6717 0.6717 0.0000  8 Ga 2.52-2.61
Rh 0.6717 0.6717 0.5000  8 Ga 2.52-2.61

* DFT formation energy: -812 meV/atom
* space group: Cmcm, No. 63
* size of the total moment: 0.0000 μB per atom


Computed, not measured: a PBEsol-optimized structure of ErGaRh at the meta-GGA SCAN level of DFT.

abc: 6.9069 4.4142 7.0843
angles: 90.00 90.00 90.00
Last column: nearest neighbours and their distance in Å.
Atoms (fractional coordinates):
Er 0.0153 0.2500 0.1943  4 Rh 2.89-2.97, 6 Ga 3.01-3.18
Er 0.4847 0.7500 0.6943  4 Rh 2.89-2.97, 6 Ga 3.01-3.18
Er 0.5153 0.2500 0.3057  4 Rh 2.89-2.97, 6 Ga 3.01-3.18
Er 0.9847 0.7500 0.8057  4 Rh 2.89-2.97, 6 Ga 3.01-3.18
Ga 0.2019 0.2500 0.6050  4 Rh 2.52-2.53
Ga 0.2981 0.7500 0.1050  4 Rh 2.52-2.53
Ga 0.7019 0.2500 0.8950  4 Rh 2.52-2.53
Ga 0.7981 0.7500 0.3950  4 Rh 2.52-2.53
Rh 0.1611 0.7500 0.4364  4 Ga 2.52-2.53
Rh 0.3389 0.2500 0.9364  4 Ga 2.52-2.53
Rh 0.6611 0.7500 0.0636  4 Ga 2.52-2.53
Rh 0.8389 0.2500 0.5636  4 Ga 2.52-2.53

* DFT formation energy: -1038 meV/atom
* space group: Pnma, No. 62
* size of the total moment: 0.0000 μB per atom


Computed, not measured: a PBEsol-optimized structure of ErGa3Ru at the meta-GGA SCAN level of DFT.

abc: 6.3012 6.3012 6.3012
angles: 90.00 90.00 90.00
Last column: nearest neighbours and their distance in Å.
Atoms (fractional coordinates):
Er 0.0000 0.0000 0.5000  10 Ga 2.89-3.15, 4 Ru 3.15
Er 0.0000 0.5000 0.0000  10 Ga 2.89-3.15, 4 Ru 3.15
Er 0.5000 0.0000 0.0000  10 Ga 2.89-3.15, 4 Ru 3.15
Ga 0.0000 0.0000 0.0000  8 Ga 3.14, 6 Er 3.15
Ga 0.2880 0.2880 0.2880  3 Ru 2.62, 3 Ga 2.67, 3 Er 2.89
Ga 0.2880 0.2880 0.7120  3 Ru 2.62, 3 Ga 2.67, 3 Er 2.89
Ga 0.2880 0.7120 0.2880  3 Ru 2.62, 3 Ga 2.67, 3 Er 2.89
Ga 0.2880 0.7120 0.7120  3 Ru 2.62, 3 Ga 2.67, 3 Er 2.89
Ga 0.7120 0.2880 0.2880  3 Ru 2.62, 3 Ga 2.67, 3 Er 2.89
Ga 0.7120 0.2880 0.7120  3 Ru 2.62, 3 Ga 2.67, 3 Er 2.89
Ga 0.7120 0.7120 0.2880  3 Ru 2.62, 3 Ga 2.67, 3 Er 2.89
Ga 0.7120 0.7120 0.7120  3 Ru 2.62, 3 Ga 2.67, 3 Er 2.89
Ru 0.0000 0.5000 0.5000  8 Ga 2.62
Ru 0.5000 0.0000 0.5000  8 Ga 2.62
Ru 0.5000 0.5000 0.0000  8 Ga 2.62

* DFT formation energy: -694 meV/atom
* space group: Pm-3m, No. 221
* size of the total moment: 0.0000 μB per atom


Computed, not measured: a PBEsol-optimized structure of Er3GaS6 at the meta-GGA SCAN level of DFT.

abc: 8.3359 8.3359 6.3323
angles: 90.00 90.00 102.34
Last column: nearest neighbours and their distance in Å.
Atoms (fractional coordinates):
Er 0.0971 0.9029 0.5000  7 S 2.66-2.95
Er 0.2176 0.4141 0.4047  7 S 2.62-2.89
Er 0.4141 0.2176 0.9047  7 S 2.62-2.89
Er 0.5859 0.7824 0.4047  7 S 2.62-2.89
Er 0.7824 0.5859 0.9047  7 S 2.62-2.89
Er 0.9029 0.0971 0.0000  7 S 2.66-2.95
Ga 0.2982 0.7018 0.8710  4 S 2.26-2.32
Ga 0.7018 0.2982 0.3710  4 S 2.26-2.32
S 0.0644 0.5991 0.6869  1 Ga 2.28
S 0.1298 0.1952 0.7038  4 Er 2.62-2.72
S 0.1952 0.1298 0.2038  4 Er 2.62-2.72
S 0.2806 0.7194 0.2258  1 Ga 2.26
S 0.4009 0.9356 0.6869  1 Ga 2.28
S 0.4612 0.5388 0.7218  1 Ga 2.32
S 0.5388 0.4612 0.2218  1 Ga 2.32
S 0.5991 0.0644 0.1869  1 Ga 2.28
S 0.7194 0.2806 0.7258  1 Ga 2.26
S 0.8048 0.8702 0.7038  4 Er 2.62-2.72
S 0.8702 0.8048 0.2038  4 Er 2.62-2.72
S 0.9356 0.4009 0.1869  1 Ga 2.28

* formation energy from raw total energies: -1.959 eV/atom
* space group: Cmc2_1, No. 36
* size of the total moment: 0.0000 μB per atom


Computed, not measured: a PBEsol-optimized structure of ErV2Ga4 at the meta-GGA SCAN level of DFT.

abc: 5.2725 5.2725 5.2725
angles: 103.80 103.80 121.52
Last column: nearest neighbours and their distance in Å.
Atoms (fractional coordinates):
Er 0.0000 0.0000 0.0000  4 Ga 2.79
V 0.2500 0.7500 0.5000  2 V 2.58, 8 Ga 2.68
V 0.7500 0.2500 0.5000  2 V 2.58, 8 Ga 2.68
Ga 0.3031 0.3031 0.6061  4 Ga 2.56-2.75, 4 V 2.68, 1 Er 2.79
Ga 0.3031 0.6969 0.0000  4 Ga 2.56-2.75, 4 V 2.68, 1 Er 2.79
Ga 0.6969 0.3031 0.0000  4 Ga 2.56-2.75, 4 V 2.68, 1 Er 2.79
Ga 0.6969 0.6969 0.3939  4 Ga 2.56-2.75, 4 V 2.68, 1 Er 2.79

* DFT formation energy: -521 meV/atom
* space group: I4/mmm, No. 139
* size of the total moment: 0.0000 μB per atom


Computed, not measured: a PBEsol-optimized structure of ErZnGa at the meta-GGA SCAN level of DFT.

abc: 4.3137 4.3137 7.0125
angles: 90.00 90.00 120.00
Last column: nearest neighbours and their distance in Å.
Atoms (fractional coordinates):
Er 0.0000 0.0000 0.0000  6 Ga 3.05, 6 Zn 3.05
Er 0.0000 0.0000 0.5000  6 Zn 3.05, 6 Ga 3.05
Zn 0.3333 0.6667 0.2500  3 Ga 2.49
Zn 0.6667 0.3333 0.7500  3 Ga 2.49
Ga 0.3333 0.6667 0.7500  3 Zn 2.49
Ga 0.6667 0.3333 0.2500  3 Zn 2.49

* DFT formation energy: -667 meV/atom
* space group: P6_3/mmc, No. 194
* size of the total moment: 0.0001 μB per atom


Computed, not measured: a PBEsol-optimized structure of Er2ZnGa at the meta-GGA SCAN level of DFT.

abc: 4.9121 4.9121 4.9121
angles: 60.00 60.00 60.00
Last column: nearest neighbours and their distance in Å.
Atoms (fractional coordinates):
Er 0.2500 0.2500 0.2500  4 Ga 3.01, 4 Zn 3.01
Er 0.7500 0.7500 0.7500  4 Ga 3.01, 4 Zn 3.01
Zn 0.0000 0.0000 0.0000  8 Er 3.01
Ga 0.5000 0.5000 0.5000  8 Er 3.01

* DFT formation energy: -571 meV/atom
* space group: Fm-3m, No. 225
* size of the total moment: 0.0000 μB per atom


Computed, not measured: a PBEsol-optimized structure of GdErZn2 at the meta-GGA SCAN level of DFT.

abc: 4.9533 4.9533 4.9533
angles: 60.00 60.00 60.00
Last column: nearest neighbours and their distance in Å.
Atoms (fractional coordinates):
Gd 0.0000 0.0000 0.0000  8 Zn 3.03
Er 0.5000 0.5000 0.5000  8 Zn 3.03
Zn 0.2500 0.2500 0.2500  4 Gd 3.03, 4 Er 3.03
Zn 0.7500 0.7500 0.7500  4 Gd 3.03, 4 Er 3.03

* DFT formation energy: -403 meV/atom
* space group: Fm-3m, No. 225
* size of the total moment: 2.0098 μB per atom


Computed, not measured: a PBEsol-optimized structure of Er5Ge4 at the meta-GGA SCAN level of DFT.

abc: 7.4607 14.3374 7.5446
angles: 90.00 90.00 90.00
Last column: nearest neighbours and their distance in Å.
Atoms (fractional coordinates):
Er 0.0236 0.1001 0.1778  6 Ge 2.92-3.16
Er 0.0236 0.3999 0.1778  6 Ge 2.92-3.16
Er 0.1250 0.6184 0.3383  6 Ge 2.80-2.97
Er 0.1250 0.8816 0.3383  6 Ge 2.80-2.97
Er 0.2095 0.2500 0.5013  6 Ge 2.88-3.04
Er 0.2905 0.7500 0.0013  6 Ge 2.88-3.04
Er 0.3750 0.1184 0.8383  6 Ge 2.80-2.97
Er 0.3750 0.3816 0.8383  6 Ge 2.80-2.97
Er 0.4764 0.6001 0.6778  6 Ge 2.92-3.16
Er 0.4764 0.8999 0.6778  6 Ge 2.92-3.16
Er 0.5236 0.1001 0.3222  6 Ge 2.92-3.16
Er 0.5236 0.3999 0.3222  6 Ge 2.92-3.16
Er 0.6250 0.6184 0.1617  6 Ge 2.80-2.97
Er 0.6250 0.8816 0.1617  6 Ge 2.80-2.97
Er 0.7095 0.2500 0.9987  6 Ge 2.88-3.04
Er 0.7905 0.7500 0.4987  6 Ge 2.88-3.04
Er 0.8750 0.1184 0.6617  6 Ge 2.80-2.97
Er 0.8750 0.3816 0.6617  6 Ge 2.80-2.97
Er 0.9764 0.6001 0.8222  6 Ge 2.92-3.16
Er 0.9764 0.8999 0.8222  6 Ge 2.92-3.16
Ge 0.0774 0.2500 0.8828  1 Ge 2.70, 5 Er 2.88-2.94
Ge 0.1700 0.7500 0.6386  1 Ge 2.70, 5 Er 2.88-2.97
Ge 0.2154 0.0432 0.5345  6 Er 2.80-3.03
Ge 0.2154 0.4568 0.5345  6 Er 2.80-3.03
Ge 0.2846 0.5432 0.0345  6 Er 2.80-3.03
Ge 0.2846 0.9568 0.0345  6 Er 2.80-3.03
Ge 0.3300 0.2500 0.1386  1 Ge 2.70, 5 Er 2.88-2.97
Ge 0.4226 0.7500 0.3828  1 Ge 2.70, 5 Er 2.88-2.94
Ge 0.5774 0.2500 0.6172  1 Ge 2.70, 5 Er 2.88-2.94
Ge 0.6700 0.7500 0.8614  1 Ge 2.70, 5 Er 2.88-2.97
Ge 0.7154 0.0432 0.9655  6 Er 2.80-3.03
Ge 0.7154 0.4568 0.9655  6 Er 2.80-3.03
Ge 0.7846 0.5432 0.4655  6 Er 2.80-3.03
Ge 0.7846 0.9568 0.4655  6 Er 2.80-3.03
Ge 0.8300 0.2500 0.3614  1 Ge 2.70, 5 Er 2.88-2.97
Ge 0.9226 0.7500 0.1172  1 Ge 2.70, 5 Er 2.88-2.94

* DFT formation energy: -930 meV/atom
* space group: Pnma, No. 62
* size of the total moment: 0.0000 μB per atom


Computed, not measured: a PBEsol-optimized structure of Er4InNi2Ge4 at the meta-GGA SCAN level of DFT.

abc: 7.8587 7.8587 6.8915
angles: 108.01 108.01 30.66
Last column: nearest neighbours and their distance in Å.
Atoms (fractional coordinates):
Er 0.0916 0.0916 0.3920  7 Ge 2.91-3.23, 3 Ni 2.97-2.99
Er 0.1562 0.1562 0.9386  5 Ge 2.85-3.01, 1 Ni 2.90
Er 0.8438 0.8438 0.0614  5 Ge 2.85-3.01, 1 Ni 2.90
Er 0.9084 0.9084 0.6080  7 Ge 2.91-3.23, 3 Ni 2.97-2.99
In 0.5000 0.5000 0.0000  4 Ge 2.80-3.05
Ni 0.2831 0.2831 0.3562  4 Ge 2.35-2.51
Ni 0.7169 0.7169 0.6438  4 Ge 2.35-2.51
Ge 0.2969 0.2969 0.7288  3 Ni 2.38-2.51
Ge 0.4347 0.4347 0.3361  1 Ni 2.35, 1 Ge 2.48
Ge 0.5653 0.5653 0.6639  1 Ni 2.35, 1 Ge 2.48
Ge 0.7031 0.7031 0.2712  3 Ni 2.38-2.51

* DFT formation energy: -876 meV/atom
* space group: C2/m, No. 12
* size of the total moment: 0.0000 μB per atom


Computed, not measured: a PBEsol-optimized structure of Er5Ge10Ir4 at the meta-GGA SCAN level of DFT.

abc: 12.8251 12.8251 4.2578
angles: 90.00 90.00 90.00
Last column: nearest neighbours and their distance in Å.
Atoms (fractional coordinates):
Er 0.0000 0.0000 0.0000  8 Ge 2.92, 4 Ir 3.18
Er 0.1161 0.3839 0.5000  10 Ge 3.23-3.31, 4 Ir 3.26
Er 0.1731 0.6731 0.5000  8 Ge 2.87-3.08, 4 Ir 3.08
Er 0.3269 0.1731 0.5000  8 Ge 2.87-3.08, 4 Ir 3.08
Er 0.3839 0.8839 0.5000  10 Ge 3.23-3.31, 4 Ir 3.26
Er 0.5000 0.5000 0.0000  8 Ge 2.92, 4 Ir 3.18
Er 0.6161 0.1161 0.5000  10 Ge 3.23-3.31, 4 Ir 3.26
Er 0.6731 0.8269 0.5000  8 Ge 2.87-3.08, 4 Ir 3.08
Er 0.8269 0.3269 0.5000  8 Ge 2.87-3.08, 4 Ir 3.08
Er 0.8839 0.6161 0.5000  10 Ge 3.23-3.31, 4 Ir 3.26
Ge 0.0045 0.8445 0.5000  2 Ir 2.44
Ge 0.0668 0.5668 0.0000  1 Ge 2.42, 2 Ir 2.47
Ge 0.1555 0.0045 0.5000  2 Ir 2.44
Ge 0.1647 0.1989 0.0000  2 Ir 2.44-2.54, 1 Ge 2.47
Ge 0.1989 0.8353 0.0000  2 Ir 2.44-2.54, 1 Ge 2.47
Ge 0.3011 0.3353 0.0000  2 Ir 2.44-2.54, 1 Ge 2.47
Ge 0.3353 0.6989 0.0000  2 Ir 2.44-2.54, 1 Ge 2.47
Ge 0.3445 0.5045 0.5000  2 Ir 2.44
Ge 0.4332 0.0668 0.0000  1 Ge 2.42, 2 Ir 2.47
Ge 0.4955 0.3445 0.5000  2 Ir 2.44
Ge 0.5045 0.6555 0.5000  2 Ir 2.44
Ge 0.5668 0.9332 0.0000  1 Ge 2.42, 2 Ir 2.47
Ge 0.6555 0.4955 0.5000  2 Ir 2.44
Ge 0.6647 0.3011 0.0000  2 Ir 2.44-2.54, 1 Ge 2.47
Ge 0.6989 0.6647 0.0000  2 Ir 2.44-2.54, 1 Ge 2.47
Ge 0.8011 0.1647 0.0000  2 Ir 2.44-2.54, 1 Ge 2.47
Ge 0.8353 0.8011 0.0000  2 Ir 2.44-2.54, 1 Ge 2.47
Ge 0.8445 0.9955 0.5000  2 Ir 2.44
Ge 0.9332 0.4332 0.0000  1 Ge 2.42, 2 Ir 2.47
Ge 0.9955 0.1555 0.5000  2 Ir 2.44
Ir 0.0191 0.7531 0.0000  5 Ge 2.44-2.54
Ir 0.2469 0.0191 0.0000  5 Ge 2.44-2.54
Ir 0.2531 0.5191 0.0000  5 Ge 2.44-2.54
Ir 0.4809 0.2531 0.0000  5 Ge 2.44-2.54
Ir 0.5191 0.7469 0.0000  5 Ge 2.44-2.54
Ir 0.7469 0.4809 0.0000  5 Ge 2.44-2.54
Ir 0.7531 0.9809 0.0000  5 Ge 2.44-2.54
Ir 0.9809 0.2469 0.0000  5 Ge 2.44-2.54

* DFT formation energy: -915 meV/atom
* space group: P4/mbm, No. 127
* size of the total moment: 0.0000 μB per atom